InGeCl3 | PBE-GGA | relaxed

Cell lengths 9.7018, 9.7018, 6.7597 Å; angles 93.37, 93.37, 91.61 degrees
With the nearest neighbours (Å) after each atom.
Atoms (fractional coordinates):
In 0.1132 0.3064 0.3361  4 Cl 3.06-3.20
In 0.3064 0.1132 0.8361  4 Cl 3.06-3.20
In 0.6936 0.8868 0.1639  4 Cl 3.06-3.20
In 0.8868 0.6936 0.6639  4 Cl 3.06-3.20
Ge 0.2476 0.7524 0.2500  2 Cl 2.39
Ge 0.4254 0.5746 0.7500  6 Cl 2.70-2.72
Ge 0.5746 0.4254 0.2500  6 Cl 2.70-2.72
Ge 0.7524 0.2476 0.7500  2 Cl 2.39
Cl 0.0188 0.7563 0.1007  1 Ge 2.39
Cl 0.1740 0.5990 0.5654  2 Ge 2.70-2.79
Cl 0.2437 0.9812 0.3993  1 Ge 2.39
Cl 0.3237 0.4457 0.0552  2 Ge 2.70-2.72
Cl 0.4010 0.8260 0.9346  2 Ge 2.70-2.79
Cl 0.4457 0.3237 0.5552  2 Ge 2.70-2.72
Cl 0.5543 0.6763 0.4448  2 Ge 2.70-2.72
Cl 0.5990 0.1740 0.0654  2 Ge 2.70-2.79
Cl 0.6763 0.5543 0.9448  2 Ge 2.70-2.72
Cl 0.7563 0.0188 0.6007  1 Ge 2.39
Cl 0.8260 0.4010 0.4346  2 Ge 2.70-2.79
Cl 0.9812 0.2437 0.8993  1 Ge 2.39

Summary:
ΔE_f (raw): -792.5 meV per atom
Uncorrected energy: -3.372 eV per atom
D(E_F): 0.00 states/eV/atom
Magnetization: 0.0 μB per formula unit
Space group: C2/c (15)